No. 1
First-principles (PBE-GGA) data for Sr2TlBiAs after structural relaxation, as listed in the Alexandria database.

Calculated values
Calculated volume = 33.272 A^3/atom
Energy = -18.04 eV per formula unit
E_form = -756 meV per atom

Structure (CIF):
```
data_Sr2TlBiAs
_symmetry_space_group_name_H-M 'P 1 21/m 1'
_symmetry_Int_Tables_number 11
_cell_length_a 8.4697
_cell_length_b 4.7641
_cell_length_c 9.0762
_cell_angle_alpha 90.00
_cell_angle_beta 114.70
_cell_angle_gamma 90.00
loop_
_symmetry_equiv_pos_as_xyz
'x,y,z'
'-x,-y,-z'
'-x,y+1/2,-z'
'x,-y+1/2,z'
loop_
_atom_site_label
_atom_site_fract_x
_atom_site_fract_y
_atom_site_fract_z
Sr1 0.0483 0.2500 0.3413
Sr2 0.4378 0.7500 0.2936
Tl1 0.3815 0.7500 0.8991
Bi1 0.1431 0.2500 0.9883
As1 0.2792 0.7500 0.5517
```

***

No. 2
First-principles (PBE-GGA) data for Sr2ZnBiAs after structural relaxation, as listed in the Alexandria database.

Calculated values
Calculated volume = 32.849 A^3/atom
Energy = -17.23 eV per formula unit
E_form = -812 meV per atom

Structure (CIF):
```
data_Sr2ZnBiAs
_symmetry_space_group_name_H-M 'P 1 21/m 1'
_symmetry_Int_Tables_number 11
_cell_length_a 7.8045
_cell_length_b 4.5762
_cell_length_c 9.5959
_cell_angle_alpha 90.00
_cell_angle_beta 106.57
_cell_angle_gamma 90.00
loop_
_symmetry_equiv_pos_as_xyz
'x,y,z'
'-x,-y,-z'
'-x,y+1/2,-z'
'x,-y+1/2,z'
loop_
_atom_site_label
_atom_site_fract_x
_atom_site_fract_y
_atom_site_fract_z
Sr1 0.1951 0.2500 0.3970
Sr2 0.2286 0.2500 0.9738
Zn1 0.4873 0.7500 0.2621
Bi1 0.3017 0.7500 0.6990
As1 0.1691 0.7500 0.1773
```

***

No. 3
First-principles (PBE-GGA) data for SrZn2BiAs after structural relaxation, as listed in the Alexandria database.

Calculated values
Calculated volume = 36.430 A^3/atom
Energy = -11.28 eV per formula unit
E_form = 297 meV per atom

Structure (CIF):
```
data_SrZn2BiAs
_symmetry_space_group_name_H-M 'P 4/m m m'
_symmetry_Int_Tables_number 123
_symmetry_space_group_name_Hall '-P 4 2'
_cell_length_a 5.2492
_cell_length_b 5.2492
_cell_length_c 6.6107
_cell_angle_alpha 90.00
_cell_angle_beta 90.00
_cell_angle_gamma 90.00
loop_
_atom_site_label
_atom_site_fract_x
_atom_site_fract_y
_atom_site_fract_z
Sr1 0.0000 0.0000 0.0000
Zn1 0.0000 0.5000 0.5000
Bi1 0.0000 0.0000 0.5000
As1 0.5000 0.5000 0.0000
```

***

No. 4
First-principles (PBE-GGA) data for Sr2ZrBiAs after structural relaxation, as listed in the Alexandria database.

Calculated values
Calculated volume = 42.943 A^3/atom
Energy = -17.16 eV per formula unit
E_form = 657 meV per atom

Structure (CIF):
```
data_Sr2ZrBiAs
_symmetry_space_group_name_H-M 'P 4/m m m'
_symmetry_Int_Tables_number 123
_symmetry_space_group_name_Hall '-P 4 2'
_cell_length_a 6.2385
_cell_length_b 6.2385
_cell_length_c 5.5169
_cell_angle_alpha 90.00
_cell_angle_beta 90.00
_cell_angle_gamma 90.00
loop_
_atom_site_label
_atom_site_fract_x
_atom_site_fract_y
_atom_site_fract_z
Sr1 0.0000 0.5000 0.0000
Zr1 0.0000 0.0000 0.5000
Bi1 0.5000 0.5000 0.0000
As1 0.5000 0.5000 0.5000
```

***

No. 5
First-principles (PBE-GGA) data for Ta3BiAs after structural relaxation, as listed in the Alexandria database.

Calculated values
Energy above the most stable polymorph in this dataset = 7.61 eV/f.u.
Calculated volume = 27.287 A^3/atom
Energy = -31.85 eV per formula unit
E_form = 2448 meV per atom

Structure (CIF):
```
data_Ta3BiAs
_symmetry_space_group_name_H-M 'P m -3 m'
_symmetry_Int_Tables_number 221
_symmetry_space_group_name_Hall '-P 4 2 3'
_cell_length_a 5.1480
_cell_length_b 5.1480
_cell_length_c 5.1480
_cell_angle_alpha 90.00
_cell_angle_beta 90.00
_cell_angle_gamma 90.00
loop_
_atom_site_label
_atom_site_fract_x
_atom_site_fract_y
_atom_site_fract_z
Ta1 0.0000 0.0000 0.5000
Bi1 0.0000 0.0000 0.0000
As1 0.5000 0.5000 0.5000
```

***

No. 6
First-principles (PBE-GGA) data for Ta2BiAs after structural relaxation, as listed in the Alexandria database.

Calculated values
Calculated volume = 19.212 A^3/atom
Energy = -31.11 eV per formula unit
E_form = 281 meV per atom

Structure (CIF):
```
data_Ta2BiAs
_symmetry_space_group_name_H-M 'F m -3 m'
_symmetry_Int_Tables_number 225
_symmetry_space_group_name_Hall '-F 4 2 3'
_cell_length_a 6.7489
_cell_length_b 6.7489
_cell_length_c 6.7489
_cell_angle_alpha 90.00
_cell_angle_beta 90.00
_cell_angle_gamma 90.00
loop_
_atom_site_label
_atom_site_fract_x
_atom_site_fract_y
_atom_site_fract_z
Ta1 0.2500 0.2500 0.2500
Bi1 0.0000 0.0000 0.0000
As1 0.0000 0.0000 0.5000
```

***

No. 7
First-principles (PBE-GGA) data for Ta2BiAs after structural relaxation, as listed in the Alexandria database.

Calculated values
Calculated volume = 21.535 A^3/atom
Energy = -29.92 eV per formula unit
E_form = 579 meV per atom

Structure (CIF):
```
data_Ta2BiAs
_symmetry_space_group_name_H-M 'I -4 2 d'
_symmetry_Int_Tables_number 122
_symmetry_space_group_name_Hall 'I -4 2bw'
_cell_length_a 4.1876
_cell_length_b 4.1876
_cell_length_c 19.6482
_cell_angle_alpha 90.00
_cell_angle_beta 90.00
_cell_angle_gamma 90.00
loop_
_atom_site_label
_atom_site_fract_x
_atom_site_fract_y
_atom_site_fract_z
Ta1 0.2299 0.2500 0.1250
Bi1 0.0000 0.0000 0.5000
As1 0.0000 0.0000 0.0000
```

***

No. 8
First-principles (PBE-GGA) data for TaBi3As after structural relaxation, as listed in the Alexandria database.

Calculated values
Energy above the most stable polymorph in this dataset = 2.79 eV/f.u.
Calculated volume = 31.862 A^3/atom
Energy = -21.48 eV per formula unit
E_form = 1333 meV per atom

Structure (CIF):
```
data_TaBi3As
_symmetry_space_group_name_H-M 'P m -3 m'
_symmetry_Int_Tables_number 221
_symmetry_space_group_name_Hall '-P 4 2 3'
_cell_length_a 5.4210
_cell_length_b 5.4210
_cell_length_c 5.4210
_cell_angle_alpha 90.00
_cell_angle_beta 90.00
_cell_angle_gamma 90.00
loop_
_atom_site_label
_atom_site_fract_x
_atom_site_fract_y
_atom_site_fract_z
Ta1 0.0000 0.0000 0.0000
Bi1 0.0000 0.5000 0.5000
As1 0.5000 0.5000 0.5000
```

***

No. 9
First-principles (PBE-GGA) data for TaBiAs2 after structural relaxation, as listed in the Alexandria database.

Calculated values
Calculated volume = 30.155 A^3/atom
Energy = -23.67 eV per formula unit
E_form = 341 meV per atom

Structure (CIF):
```
data_TaBiAs2
_symmetry_space_group_name_H-M 'I -4 2 d'
_symmetry_Int_Tables_number 122
_symmetry_space_group_name_Hall 'I -4 2bw'
_cell_length_a 6.4121
_cell_length_b 6.4121
_cell_length_c 11.7347
_cell_angle_alpha 90.00
_cell_angle_beta 90.00
_cell_angle_gamma 90.00
loop_
_atom_site_label
_atom_site_fract_x
_atom_site_fract_y
_atom_site_fract_z
Ta1 0.0000 0.0000 0.0000
Bi1 0.0000 0.0000 0.5000
As1 0.1930 0.2500 0.1250
```

***

No. 10
First-principles (PBE-GGA) data for TaBi3As after structural relaxation, as listed in the Alexandria database.

Calculated values
Energy above the most stable polymorph in this dataset = 0.00 eV/f.u.
Calculated volume = 32.820 A^3/atom
Energy = -24.27 eV per formula unit
E_form = 775 meV per atom

Structure (CIF):
```
data_TaBi3As
_symmetry_space_group_name_H-M 'P m -3 m'
_symmetry_Int_Tables_number 221
_symmetry_space_group_name_Hall '-P 4 2 3'
_cell_length_a 5.4748
_cell_length_b 5.4748
_cell_length_c 5.4748
_cell_angle_alpha 90.00
_cell_angle_beta 90.00
_cell_angle_gamma 90.00
loop_
_atom_site_label
_atom_site_fract_x
_atom_site_fract_y
_atom_site_fract_z
Ta1 0.0000 0.0000 0.0000
Bi1 0.0000 0.0000 0.5000
As1 0.5000 0.5000 0.5000
```

***

No. 11
First-principles (PBE-GGA) data for Ta3BiAs after structural relaxation, as listed in the Alexandria database.

Calculated values
Energy above the most stable polymorph in this dataset = 0.00 eV/f.u.
Calculated volume = 22.308 A^3/atom
Energy = -39.46 eV per formula unit
E_form = 926 meV per atom

Structure (CIF):
```
data_Ta3BiAs
_symmetry_space_group_name_H-M 'P m -3 m'
_symmetry_Int_Tables_number 221
_symmetry_space_group_name_Hall '-P 4 2 3'
_cell_length_a 4.8137
_cell_length_b 4.8137
_cell_length_c 4.8137
_cell_angle_alpha 90.00
_cell_angle_beta 90.00
_cell_angle_gamma 90.00
loop_
_atom_site_label
_atom_site_fract_x
_atom_site_fract_y
_atom_site_fract_z
Ta1 0.0000 0.0000 0.5000
Bi1 0.5000 0.5000 0.5000
As1 0.0000 0.0000 0.0000
```

***

No. 12
First-principles (PBE-GGA) data for Tb5BiAs6 after structural relaxation, as listed in the Alexandria database.

Calculated values
Calculated volume = 25.641 A^3/atom
Energy = -69.68 eV per formula unit
E_form = -1229 meV per atom

Structure (CIF):
```
data_Tb5BiAs6
_symmetry_space_group_name_H-M 'C 1 2/m 1'
_symmetry_Int_Tables_number 12
_cell_length_a 7.2240
_cell_length_b 12.5179
_cell_length_c 7.2184
_cell_angle_alpha 90.00
_cell_angle_beta 109.48
_cell_angle_gamma 90.00
loop_
_symmetry_equiv_pos_as_xyz
'x,y,z'
'-x,-y,-z'
'-x,y,-z'
'x,-y,z'
'x+1/2,y+1/2,z'
'-x+1/2,-y+1/2,-z'
'-x+1/2,y+1/2,-z'
'x+1/2,-y+1/2,z'
loop_
_atom_site_label
_atom_site_fract_x
_atom_site_fract_y
_atom_site_fract_z
Tb1 0.0000 0.0000 0.0000
Tb2 0.0000 0.1674 0.5000
Tb3 0.0000 0.3348 0.0000
Bi1 0.0000 0.5000 0.5000
As1 0.2457 0.0000 0.7540
As2 0.2462 0.1694 0.2473
```

***

Q: E_form of number 12 (Tb5BiAs6)?
A: -1229 meV per atom